# La2YMn PBE relaxed
data_La2YMn
_cell_length_a 3.798
_cell_length_b 3.798
_cell_length_c 8.392
_cell_angle_alpha 90.00
_cell_angle_beta 90.00
_cell_angle_gamma 90.00
_space_group_name_H-M_alt 'P 4/m m m'
_space_group_IT_number 123
_space_group_name_Hall '-P 4 2'
loop_
_atom_site_label
_atom_site_fract_x
_atom_site_fract_y
_atom_site_fract_z
_atom_site_occupancy
La1 0.000 0.000 0.211 1
Y1 0.500 0.500 0.500 1
Mn1 0.500 0.500 0.000 1
# * total DFT energy (no corrections): -24.77 eV for the cell shown
# * energy above the most stable polymorph in this dataset: 0.026 eV per atom
# * calculated volume: 30.27 Å³ per atom
# * crystal system: tetragonal
# * DFT formation energy: 0.18 eV per atom

# CdAg2Te PBE relaxed
data_CdAg2Te
_cell_length_a 3.159
_cell_length_b 4.699
_cell_length_c 6.482
_cell_angle_alpha 90.00
_cell_angle_beta 103.42
_cell_angle_gamma 90.00
_space_group_name_H-M_alt 'P 1 m 1'
_space_group_IT_number 6
loop_
_space_group_symop_operation_xyz
'x,y,z'
'x,-y,z'
loop_
_atom_site_label
_atom_site_fract_x
_atom_site_fract_y
_atom_site_fract_z
_atom_site_occupancy
Cd1 0.000 0.000 0.000 1
Ag1 0.567 0.500 0.137 1
Ag2 0.686 0.000 0.394 1
Te1 0.819 0.500 0.656 1
# * total DFT energy (no corrections): -9.66 eV for the cell shown
# * energy above the most stable polymorph in this dataset: 0.027 eV per atom
# * calculated volume: 23.40 Å³ per atom
# * formation energy (no corrections): 0.02 eV/atom
# * crystal system: monoclinic

> What is the total DFT energy (no corrections) in the second record?

-9.66 eV for the cell shown

Repeat the first record exactly.
# La2YMn PBE relaxed
data_La2YMn
_cell_length_a 3.798
_cell_length_b 3.798
_cell_length_c 8.392
_cell_angle_alpha 90.00
_cell_angle_beta 90.00
_cell_angle_gamma 90.00
_space_group_name_H-M_alt 'P 4/m m m'
_space_group_IT_number 123
_space_group_name_Hall '-P 4 2'
loop_
_atom_site_label
_atom_site_fract_x
_atom_site_fract_y
_atom_site_fract_z
_atom_site_occupancy
La1 0.000 0.000 0.211 1
Y1 0.500 0.500 0.500 1
Mn1 0.500 0.500 0.000 1
# * total DFT energy (no corrections): -24.77 eV for the cell shown
# * energy above the most stable polymorph in this dataset: 0.026 eV per atom
# * calculated volume: 30.27 Å³ per atom
# * crystal system: tetragonal
# * DFT formation energy: 0.18 eV per atom